Record 1
K2MnFe | meta-GGA SCAN | PBEsol geometry

Its crystal system is cubic. As for the formation energy: 3.935 eV per formula unit.

It has space group F-43m (No. 216), with a = 7.4667 Å, b = 7.4667 Å, c = 7.4667 Å, α = 90.00°, β = 90.00° and γ = 90.00°. Symmetry generates all atoms from K at (0.0000, 0.0000, 0.0000), K at (0.2500, 0.2500, 0.2500), Mn at (0.0000, 0.0000, 0.5000) and Fe at (0.2500, 0.2500, 0.7500).

=====

Record 2
KMnFe2 | meta-GGA SCAN | PBEsol geometry

Its crystal system is tetragonal. As for the formation energy: 3.037 eV per formula unit.

It has space group P4/mmm (No. 123), with a = 2.9933 Å, b = 2.9933 Å, c = 7.6018 Å, α = 90.00°, β = 90.00° and γ = 90.00°. Symmetry generates all atoms from K at (0.0000, 0.0000, 0.0000), Mn at (0.0000, 0.0000, 0.5000) and Fe at (0.5000, 0.5000, 0.3534).

=====

Record 3
K3MnFe | meta-GGA SCAN | PBEsol geometry

Its crystal system is cubic. As for the formation energy: 5.453 eV per formula unit.

It has space group Pm-3m (No. 221), with a = 6.0980 Å, b = 6.0980 Å, c = 6.0980 Å, α = 90.00°, β = 90.00° and γ = 90.00°. Symmetry generates all atoms from K at (0.0000, 0.0000, 0.5000), Mn at (0.5000, 0.5000, 0.5000) and Fe at (0.0000, 0.0000, 0.0000).

=====

Record 4
KMnFe2 | meta-GGA SCAN | PBEsol geometry

Its crystal system is tetragonal. As for the formation energy: 4.837 eV per formula unit.

It has space group P4/mmm (No. 123), with a = 3.9341 Å, b = 3.9341 Å, c = 4.1484 Å, α = 90.00°, β = 90.00° and γ = 90.00°. Symmetry generates all atoms from K at (0.0000, 0.0000, 0.0000), Mn at (0.5000, 0.5000, 0.0000) and Fe at (0.0000, 0.5000, 0.5000).

=====

Record 5
K2MnFe | meta-GGA SCAN | PBEsol geometry

Its crystal system is orthorhombic. As for the formation energy: 4.387 eV per formula unit.

It has space group Pmmm (No. 47), with a = 2.9947 Å, b = 5.5937 Å, c = 5.8542 Å, α = 90.00°, β = 90.00° and γ = 90.00°. Symmetry generates all atoms from K at (0.0000, 0.0000, 0.2463), Mn at (0.5000, 0.5000, 0.5000) and Fe at (0.5000, 0.5000, 0.0000).

=====

Record 6
KMn2FeOs | meta-GGA SCAN | PBEsol geometry

Its crystal system is tetragonal. As for the formation energy: 3.859 eV per formula unit.

It has space group P4/mmm (No. 123), with a = 4.8732 Å, b = 4.8732 Å, c = 4.6225 Å, α = 90.00°, β = 90.00° and γ = 90.00°. Symmetry generates all atoms from K at (0.0000, 0.0000, 0.0000), Mn at (0.0000, 0.5000, 0.5000), Fe at (0.5000, 0.5000, 0.0000) and Os at (0.5000, 0.5000, 0.5000).

=====

Record 7
KMnFeSb2 | meta-GGA SCAN | PBEsol geometry

Its crystal system is tetragonal. Its formation energy from raw total energies is 8.74 eV/f.u.

It has space group P4/mmm (No. 123), with a = 5.6238 Å, b = 5.6238 Å, c = 4.4052 Å, α = 90.00°, β = 90.00° and γ = 90.00°. Symmetry generates all atoms from K at (0.0000, 0.0000, 0.0000), Mn at (0.5000, 0.5000, 0.5000), Fe at (0.0000, 0.0000, 0.5000) and Sb at (0.0000, 0.5000, 0.0000).

=====

Record 8
KFeMo2 | meta-GGA SCAN | PBEsol geometry

Its crystal system is tetragonal. As for the formation energy: 3.899 eV per formula unit.

It has space group P4/mmm (No. 123), with a = 2.6724 Å, b = 2.6724 Å, c = 9.8090 Å, α = 90.00°, β = 90.00° and γ = 90.00°. Symmetry generates all atoms from K at (0.0000, 0.0000, 0.0000), Fe at (0.0000, 0.0000, 0.5000) and Mo at (0.5000, 0.5000, 0.3252).

=====

Number 1: N(E_F) 10.255 states/eV per cell, magnetic moment 7.8 μB per formula unit. Number 2: N(E_F) 3.024 states/eV per cell, magnetic moment 6.2 μB per formula unit. Number 3: N(E_F) 13.007 states/eV per cell, magnetic moment 8.6 μB per formula unit. Number 4: N(E_F) 2.347 states/eV per cell, magnetic moment 9.4 μB per formula unit. Number 5: N(E_F) 2.297 states/eV per cell, magnetic moment 7.2 μB per formula unit. Number 6: N(E_F) 4.677 states/eV per cell, magnetic moment 11.9 μB per formula unit. Number 7: N(E_F) 3.519 states/eV per cell, magnetic moment 7.7 μB per formula unit. Number 8: N(E_F) 3.248 states/eV per cell, magnetic moment 0.0 μB per formula unit.